No. 1
Crystalline KTaRe at its relaxed geometry. Source: Alexandria via LeMat-Bulk, functional PBE.

Cell: 3.1832 4.9381 16.5053 Å, 90.00 90.00 90.00°
Space group Fmm2 (No. 42)
One atom of each set of equivalent atoms:
K  0.0000  0.0000  0.0000
Ta  0.0000  0.0000  0.6993
Re  0.0000  0.0000  0.3203

***

No. 2
Crystalline KTaRe at its relaxed geometry. Source: Alexandria via LeMat-Bulk, functional PBE.

Cell: 6.4922 6.4922 6.4922 Å, 90.00 90.00 90.00°
Space group F-43m (No. 216)
One atom of each set of equivalent atoms:
K  0.0000  0.0000  0.0000
Ta  0.0000  0.0000  0.5000
Re  0.2500  0.2500  0.7500

***

no.,DFT formation energy (kcal/mol of atoms)
1,19.2
2,42.6